Density functional theory data (PBE) for an optimized crystal structure of Ho2PdN.

Energy relative to the elements, uncorrected: -0.705 eV per atom
Energy above the most stable polymorph in this dataset: 1.56 eV per formula unit

CIF file:
```
data_Ho2PdN
_chemical_formula_sum 'Ho2 Pd1 N1'
_space_group_name_H-M_alt 'P 4/m m m'
_space_group_IT_number 123
_space_group_name_Hall '-P 4 2'
_cell_length_a 3.1738
_cell_length_b 3.1738
_cell_length_c 6.7400
_cell_angle_alpha 90.00
_cell_angle_beta 90.00
_cell_angle_gamma 90.00
loop_
_atom_site_label
_atom_site_type_symbol
_atom_site_fract_x
_atom_site_fract_y
_atom_site_fract_z
Ho1 Ho 0.0000 0.0000 0.2128
Pd1 Pd 0.5000 0.5000 0.5000
N1 N 0.5000 0.5000 0.0000
```


Density functional theory data (PBE) for an optimized crystal structure of BeNiIrPd.

Calculated formation energy: -126.2 meV per atom

CIF file:
```
data_BeNiIrPd
_chemical_formula_sum 'Be4 Ni4 Ir4 Pd4'
_space_group_name_H-M_alt 'F -4 3 m'
_space_group_IT_number 216
_space_group_name_Hall 'F -4 2 3'
_cell_length_a 5.8217
_cell_length_b 5.8217
_cell_length_c 5.8217
_cell_angle_alpha 90.00
_cell_angle_beta 90.00
_cell_angle_gamma 90.00
loop_
_atom_site_label
_atom_site_type_symbol
_atom_site_fract_x
_atom_site_fract_y
_atom_site_fract_z
Be1 Be 0.0000 0.0000 0.0000
Ni1 Ni 0.0000 0.0000 0.5000
Ir1 Ir 0.2500 0.2500 0.2500
Pd1 Pd 0.2500 0.2500 0.7500
```


Density functional theory data (PBE) for an optimized crystal structure of TcP3.

Calculated formation energy: 386.1 meV per atom
Energy above the most stable polymorph in this dataset: 3.33 eV per formula unit

CIF file:
```
data_TcP3
_chemical_formula_sum 'Tc2 P6'
_space_group_name_H-M_alt 'C m m m'
_space_group_IT_number 65
_space_group_name_Hall '-C 2 2'
_cell_length_a 5.2673
_cell_length_b 6.8820
_cell_length_c 2.9906
_cell_angle_alpha 90.00
_cell_angle_beta 90.00
_cell_angle_gamma 90.00
loop_
_atom_site_label
_atom_site_type_symbol
_atom_site_fract_x
_atom_site_fract_y
_atom_site_fract_z
Tc1 Tc 0.0000 0.0000 0.0000
P1 P 0.0000 0.5000 0.0000
P2 P 0.2500 0.2500 0.5000
```


Density functional theory data (PBE) for an optimized crystal structure of Be2FeCu.

Calculated formation energy: -28.8 meV per atom

CIF file:
```
data_Be2FeCu
_chemical_formula_sum 'Be2 Fe1 Cu1'
_space_group_name_H-M_alt 'P 4 m m'
_space_group_IT_number 99
_cell_length_a 2.5483
_cell_length_b 2.5483
_cell_length_c 5.9495
_cell_angle_alpha 90.00
_cell_angle_beta 90.00
_cell_angle_gamma 90.00
loop_
_space_group_symop_operation_xyz
'x,y,z'
'-y,x,z'
'-x,-y,z'
'y,-x,z'
'-x,y,z'
'y,x,z'
'x,-y,z'
'-y,-x,z'
loop_
_atom_site_label
_atom_site_type_symbol
_atom_site_fract_x
_atom_site_fract_y
_atom_site_fract_z
Be1 Be 0.0000 0.0000 0.0000
Be2 Be 0.5000 0.5000 0.2083
Fe1 Fe 0.5000 0.5000 0.7582
Cu1 Cu 0.0000 0.0000 0.4461
```


Density functional theory data (PBE) for an optimized crystal structure of FeAgSb2.

Energy relative to the elements, uncorrected: 0.380 eV per atom
Energy above the most stable polymorph in this dataset: 0.88 eV per formula unit

CIF file:
```
data_FeAgSb2
_chemical_formula_sum 'Fe3 Ag3 Sb6'
_space_group_name_H-M_alt 'R 3 m'
_space_group_IT_number 160
_space_group_name_Hall 'R 3 -2"'
_cell_length_a 3.3407
_cell_length_b 3.3407
_cell_length_c 26.5935
_cell_angle_alpha 90.00
_cell_angle_beta 90.00
_cell_angle_gamma 120.00
loop_
_atom_site_label
_atom_site_type_symbol
_atom_site_fract_x
_atom_site_fract_y
_atom_site_fract_z
Fe1 Fe 0.0000 0.0000 0.0000
Ag1 Ag 0.0000 0.0000 0.7398
Sb1 Sb 0.0000 0.0000 0.2673
Sb2 Sb 0.0000 0.0000 0.4939
```


Density functional theory data (PBE) for an optimized crystal structure of Be3NbB12.

Calculated formation energy: 173.6 meV per atom

CIF file:
```
data_Be3NbB12
_chemical_formula_sum 'Be18 Nb6 B72'
_space_group_name_H-M_alt 'R 3 c'
_space_group_IT_number 161
_space_group_name_Hall 'R 3 -2"c'
_cell_length_a 11.9040
_cell_length_b 11.9040
_cell_length_c 6.7269
_cell_angle_alpha 90.00
_cell_angle_beta 90.00
_cell_angle_gamma 120.00
loop_
_atom_site_label
_atom_site_type_symbol
_atom_site_fract_x
_atom_site_fract_y
_atom_site_fract_z
Be1 Be 0.0525 0.3369 0.0000
Nb1 Nb 0.0000 0.0000 0.1622
B1 B 0.0929 0.2041 0.0503
B2 B 0.1083 0.3402 0.4970
B3 B 0.1314 0.4360 0.2819
B4 B 0.1887 0.4615 0.6747
```


Density functional theory data (PBE) for an optimized crystal structure of TmPaTc2.

Calculated formation energy: -219.2 meV per atom
Energy above the most stable polymorph in this dataset: 0.15 eV per formula unit

CIF file:
```
data_TmPaTc2
_chemical_formula_sum 'Tm4 Pa4 Tc8'
_space_group_name_H-M_alt 'F m -3 m'
_space_group_IT_number 225
_space_group_name_Hall '-F 4 2 3'
_cell_length_a 6.8100
_cell_length_b 6.8100
_cell_length_c 6.8100
_cell_angle_alpha 90.00
_cell_angle_beta 90.00
_cell_angle_gamma 90.00
loop_
_atom_site_label
_atom_site_type_symbol
_atom_site_fract_x
_atom_site_fract_y
_atom_site_fract_z
Tm1 Tm 0.0000 0.0000 0.0000
Pa1 Pa 0.0000 0.0000 0.5000
Tc1 Tc 0.2500 0.2500 0.2500
```


Density functional theory data (PBE) for an optimized crystal structure of LiCeSmSb.

Energy relative to the elements, uncorrected: -0.410 eV per atom

CIF file:
```
data_LiCeSmSb
_chemical_formula_sum 'Li4 Ce4 Sm4 Sb4'
_space_group_name_H-M_alt 'F -4 3 m'
_space_group_IT_number 216
_space_group_name_Hall 'F -4 2 3'
_cell_length_a 7.5372
_cell_length_b 7.5372
_cell_length_c 7.5372
_cell_angle_alpha 90.00
_cell_angle_beta 90.00
_cell_angle_gamma 90.00
loop_
_atom_site_label
_atom_site_type_symbol
_atom_site_fract_x
_atom_site_fract_y
_atom_site_fract_z
Li1 Li 0.0000 0.0000 0.0000
Ce1 Ce 0.2500 0.2500 0.7500
Sm1 Sm 0.2500 0.2500 0.2500
Sb1 Sb 0.0000 0.0000 0.5000
```


Density functional theory data (PBE) for an optimized crystal structure of K3Tm3PaSe8.

Energy relative to the elements, uncorrected: -1.677 eV per atom

CIF file:
```
data_K3Tm3PaSe8
_chemical_formula_sum 'K9 Tm9 Pa3 Se24'
_space_group_name_H-M_alt 'R -3 m'
_space_group_IT_number 166
_space_group_name_Hall '-R 3 2"'
_cell_length_a 8.3033
_cell_length_b 8.3033
_cell_length_c 23.3715
_cell_angle_alpha 90.00
_cell_angle_beta 90.00
_cell_angle_gamma 120.00
loop_
_atom_site_label
_atom_site_type_symbol
_atom_site_fract_x
_atom_site_fract_y
_atom_site_fract_z
K1 K 0.0000 0.5000 0.0000
Tm1 Tm 0.0000 0.5000 0.5000
Pa1 Pa 0.0000 0.0000 0.5000
Se1 Se 0.0000 0.0000 0.2336
Se2 Se 0.0028 0.5014 0.7664
```


Density functional theory data (PBE) for an optimized crystal structure of Li2TaTl.

Calculated formation energy: 738.3 meV per atom

CIF file:
```
data_Li2TaTl
_chemical_formula_sum 'Li8 Ta4 Tl4'
_space_group_name_H-M_alt 'I -4 2 d'
_space_group_IT_number 122
_space_group_name_Hall 'I -4 2bw'
_cell_length_a 7.2971
_cell_length_b 7.2971
_cell_length_c 5.6532
_cell_angle_alpha 90.00
_cell_angle_beta 90.00
_cell_angle_gamma 90.00
loop_
_atom_site_label
_atom_site_type_symbol
_atom_site_fract_x
_atom_site_fract_y
_atom_site_fract_z
Li1 Li 0.2343 0.2500 0.1250
Ta1 Ta 0.0000 0.0000 0.5000
Tl1 Tl 0.0000 0.0000 0.0000
```


Density functional theory data (PBE) for an optimized crystal structure of YSb3Os.

Energy relative to the elements, uncorrected: 0.400 eV per atom
Energy above the most stable polymorph in this dataset: 0.00 eV per formula unit

CIF file:
```
data_YSb3Os
_chemical_formula_sum 'Y1 Sb3 Os1'
_space_group_name_H-M_alt 'P m -3 m'
_space_group_IT_number 221
_space_group_name_Hall '-P 4 2 3'
_cell_length_a 5.2095
_cell_length_b 5.2095
_cell_length_c 5.2095
_cell_angle_alpha 90.00
_cell_angle_beta 90.00
_cell_angle_gamma 90.00
loop_
_atom_site_label
_atom_site_type_symbol
_atom_site_fract_x
_atom_site_fract_y
_atom_site_fract_z
Y1 Y 0.0000 0.0000 0.0000
Sb1 Sb 0.0000 0.5000 0.5000
Os1 Os 0.5000 0.5000 0.5000
```


Density functional theory data (PBE) for an optimized crystal structure of CePmHg2.

Calculated formation energy: -225.6 meV per atom
Energy above the most stable polymorph in this dataset: 0.62 eV per formula unit

CIF file:
```
data_CePmHg2
_chemical_formula_sum 'Ce3 Pm3 Hg6'
_space_group_name_H-M_alt 'R -3 m'
_space_group_IT_number 166
_space_group_name_Hall '-R 3 2"'
_cell_length_a 3.7127
_cell_length_b 3.7127
_cell_length_c 29.6503
_cell_angle_alpha 90.00
_cell_angle_beta 90.00
_cell_angle_gamma 120.00
loop_
_atom_site_label
_atom_site_type_symbol
_atom_site_fract_x
_atom_site_fract_y
_atom_site_fract_z
Ce1 Ce 0.0000 0.0000 0.0000
Pm1 Pm 0.0000 0.0000 0.5000
Hg1 Hg 0.0000 0.0000 0.2488
```


no.,total energy (eV per cell),spin magnetization (μB/cell)
1,-25.49,0.0
2,-96.27,7.0
3,-50.10,0.0
4,-20.13,2.0
5,-54.11,6.7
6,-591.60,0.0
7,-142.30,0.0
8,-73.32,6.6
9,-237.70,3.1
10,-60.37,0.0
11,-28.06,0.0
12,-36.57,3.8